# 1
LiMn2O2F3 | PBEsol | relaxed

Polymorph energy (0 for the lowest one) in meV per atom: 0.0
SG: No. 15

a b c (Å): 4.874 5.996 6.740
angles (deg): 108.21 90.00 113.98
Site moments in Bohr magnetons follow the coordinates.
Sites, in units of the cell vectors:
Li (0.500, 0.000, 0.500)  0.00
Li (0.500, 0.000, 0.000)  0.00
Mn (0.785, 0.623, 0.134)  3.68
Mn (0.838, 0.623, 0.634)  3.68
Mn (0.162, 0.377, 0.366)  3.68
Mn (0.215, 0.377, 0.866)  3.68
O (0.379, 0.399, 0.133)  0.03
O (0.020, 0.399, 0.633)  0.03
O (0.980, 0.601, 0.367)  0.03
O (0.621, 0.601, 0.867)  0.03
F (0.215, 0.000, 0.750)  0.10
F (0.785, 0.000, 0.250)  0.10
F (0.826, 0.242, 0.945)  0.06
F (0.416, 0.242, 0.445)  0.06
F (0.584, 0.758, 0.555)  0.06
F (0.174, 0.758, 0.055)  0.06



# 2
Li5Mn5O9F | PBEsol | relaxed

SG: No. 1

a b c (Å): 5.097 5.279 7.711
angles (deg): 105.54 104.46 102.01
Site moments in Bohr magnetons follow the coordinates.
Sites, in units of the cell vectors:
Li (0.696, 0.412, 0.907)  0.01
Li (0.109, 0.199, 0.698)  0.00
Li (0.507, 0.976, 0.485)  0.01
Li (0.903, 0.803, 0.308)  0.00
Li (0.300, 0.611, 0.107)  0.00
Mn (0.385, 0.796, 0.802)  3.64
Mn (0.796, 0.589, 0.598)  3.59
Mn (0.202, 0.400, 0.398)  3.60
Mn (0.607, 0.191, 0.198)  3.59
Mn (0.004, 0.987, 0.007)  4.21
O (0.016, 0.599, 0.838)  0.18
O (0.366, 0.160, 0.950)  0.07
O (0.446, 0.454, 0.650)  0.03
O (0.865, 0.206, 0.434)  0.11
O (0.133, 0.800, 0.571)  0.11
O (0.287, 0.009, 0.255)  0.16
O (0.544, 0.597, 0.367)  0.11
O (0.635, 0.786, 0.028)  0.14
O (0.949, 0.381, 0.160)  0.08
F (0.752, 0.042, 0.740)  0.10



# 3
Li3Mn8O4F12 | PBEsol | relaxed

SG: No. 12

a b c (Å): 5.985 6.262 10.124
angles (deg): 75.48 72.81 61.45
Site moments in Bohr magnetons follow the coordinates.
Sites, in units of the cell vectors:
Li (0.000, 0.500, 0.500)  0.00
Li (0.188, 0.702, 0.923)  0.00
Li (0.812, 0.298, 0.077)  0.00
Mn (0.263, 0.251, 0.222)  4.51
Mn (0.000, 0.000, 0.500)  4.01
Mn (0.500, 0.000, 0.500)  4.01
Mn (0.737, 0.749, 0.778)  4.51
Mn (0.756, 0.245, 0.743)  4.38
Mn (0.257, 0.245, 0.743)  4.38
Mn (0.244, 0.755, 0.257)  4.38
Mn (0.743, 0.755, 0.257)  4.38
O (0.125, 0.139, 0.610)  0.11
O (0.875, 0.861, 0.390)  0.11
O (0.643, 0.087, 0.628)  0.15
O (0.357, 0.913, 0.372)  0.15
F (0.376, 0.390, 0.858)  0.07
F (0.624, 0.610, 0.142)  0.07
F (0.871, 0.380, 0.877)  0.09
F (0.129, 0.620, 0.123)  0.09
F (0.656, 0.608, 0.633)  0.09
F (0.102, 0.608, 0.633)  0.09
F (0.344, 0.392, 0.367)  0.09
F (0.898, 0.392, 0.367)  0.09
F (0.876, 0.902, 0.868)  0.08
F (0.354, 0.902, 0.868)  0.08
F (0.124, 0.098, 0.132)  0.08
F (0.646, 0.098, 0.132)  0.08



# 4
LiMn2O2F3 | PBEsol | relaxed

Polymorph energy (0 for the lowest one) in meV per atom: 8.6
SG: No. 63

a b c (Å): 3.706 5.169 10.362
angles (deg): 90.00 90.00 111.01
Site moments in Bohr magnetons follow the coordinates.
Sites, in units of the cell vectors:
Li (0.674, 0.347, 0.250)  0.00
Li (0.326, 0.653, 0.750)  0.00
Mn (0.655, 0.309, 0.558)  3.67
Mn (0.345, 0.691, 0.058)  3.67
Mn (0.655, 0.309, 0.942)  3.67
Mn (0.345, 0.691, 0.442)  3.67
O (0.810, 0.621, 0.057)  0.05
O (0.810, 0.621, 0.443)  0.05
O (0.190, 0.379, 0.943)  0.05
O (0.190, 0.379, 0.557)  0.05
F (0.746, 0.493, 0.750)  0.08
F (0.254, 0.507, 0.250)  0.08
F (0.530, 0.060, 0.379)  0.07
F (0.530, 0.060, 0.121)  0.07
F (0.470, 0.940, 0.879)  0.07
F (0.470, 0.940, 0.621)  0.07



# 5
LiMn2OF5 | PBEsol | relaxed

SG: No. 29

a b c (Å): 4.545 4.909 17.070
angles (deg): 90.00 90.00 90.00
Site moments in Bohr magnetons follow the coordinates.
Sites, in units of the cell vectors:
Li (0.732, 0.757, 0.367)  0.00
Li (0.732, 0.257, 0.133)  0.00
Li (0.268, 0.757, 0.867)  0.00
Li (0.268, 0.257, 0.633)  0.00
Mn (0.719, 0.242, 0.472)  3.26
Mn (0.767, 0.752, 0.695)  4.09
Mn (0.719, 0.742, 0.028)  3.26
Mn (0.767, 0.252, 0.805)  4.09
Mn (0.233, 0.752, 0.195)  4.09
Mn (0.281, 0.242, 0.972)  3.26
Mn (0.233, 0.252, 0.305)  4.09
Mn (0.281, 0.742, 0.528)  3.26
O (0.503, 0.931, 0.461)  0.08
O (0.503, 0.431, 0.039)  0.08
O (0.497, 0.431, 0.539)  0.08
O (0.497, 0.931, 0.961)  0.08
F (0.512, 0.913, 0.119)  0.05
F (0.512, 0.413, 0.381)  0.05
F (0.536, 0.428, 0.711)  0.06
F (0.536, 0.928, 0.789)  0.06
F (0.464, 0.928, 0.289)  0.06
F (0.464, 0.428, 0.211)  0.06
F (0.488, 0.413, 0.881)  0.05
F (0.488, 0.913, 0.619)  0.05
F (0.009, 0.559, 0.959)  0.03
F (0.009, 0.059, 0.541)  0.03
F (0.041, 0.087, 0.884)  0.06
F (0.041, 0.587, 0.616)  0.06
F (0.008, 0.581, 0.288)  0.05
F (0.008, 0.081, 0.212)  0.05
F (0.992, 0.081, 0.712)  0.05
F (0.992, 0.581, 0.788)  0.05
F (0.959, 0.087, 0.384)  0.06
F (0.959, 0.587, 0.116)  0.06
F (0.991, 0.559, 0.459)  0.03
F (0.991, 0.059, 0.041)  0.03



# 6
Li3Mn2OF5 | PBEsol | relaxed

SG: No. 22

a b c (Å): 5.166 5.166 9.491
angles (deg): 100.77 100.77 108.25
Site moments in Bohr magnetons follow the coordinates.
Sites, in units of the cell vectors:
Li (0.173, 0.173, 0.346)  0.00
Li (0.569, 0.069, 0.138)  0.00
Li (0.931, 0.431, 0.862)  0.00
Li (0.500, 0.500, 0.000)  0.00
Li (0.827, 0.827, 0.654)  0.00
Li (0.250, 0.750, 0.500)  0.00
Mn (0.670, 0.670, 0.341)  4.50
Mn (0.000, 0.000, 0.000)  4.55
Mn (0.330, 0.330, 0.659)  4.50
Mn (0.750, 0.250, 0.500)  4.45
O (0.996, 0.004, 0.500)  0.15
O (0.504, 0.496, 0.500)  0.15
F (0.363, 0.316, 0.159)  0.06
F (0.927, 0.410, 0.332)  0.08
F (0.404, 0.921, 0.332)  0.08
F (0.684, 0.637, 0.841)  0.06
F (0.796, 0.843, 0.159)  0.06
F (0.246, 0.754, 0.000)  0.04
F (0.590, 0.073, 0.668)  0.08
F (0.754, 0.246, 0.000)  0.04
F (0.157, 0.204, 0.841)  0.06
F (0.079, 0.596, 0.668)  0.08



# 7
Li4Mn7O9F7 | PBEsol | relaxed

SG: No. 8

a b c (Å): 5.699 5.919 10.262
angles (deg): 76.36 73.88 61.22
Site moments in Bohr magnetons follow the coordinates.
Sites, in units of the cell vectors:
Li (0.012, 0.968, 0.009)  0.01
Li (0.610, 0.665, 0.115)  0.01
Li (0.114, 0.152, 0.619)  0.01
Li (0.510, 0.471, 0.509)  0.00
Mn (0.293, 0.341, 0.072)  4.15
Mn (0.059, 0.054, 0.309)  3.64
Mn (0.577, 0.054, 0.309)  3.64
Mn (0.062, 0.576, 0.804)  3.51
Mn (0.573, 0.055, 0.799)  2.31
Mn (0.807, 0.818, 0.568)  2.40
Mn (0.557, 0.576, 0.804)  3.51
O (0.439, 0.409, 0.714)  0.02
O (0.720, 0.125, 0.436)  0.03
O (0.404, 0.001, 0.192)  0.04
O (0.216, 0.640, 0.929)  0.03
O (0.917, 0.963, 0.203)  0.07
O (0.907, 0.948, 0.682)  0.11
O (0.463, 0.948, 0.682)  0.11
O (0.909, 0.494, 0.687)  0.02
O (0.691, 0.716, 0.903)  0.03
F (0.168, 0.689, 0.458)  0.05
F (0.444, 0.448, 0.186)  0.11
F (0.207, 0.159, 0.427)  0.02
F (0.690, 0.160, 0.930)  0.06
F (0.685, 0.689, 0.458)  0.05
F (0.220, 0.160, 0.930)  0.06
F (0.922, 0.448, 0.186)  0.11



# 8
LiMn7O9F3 | PBEsol | relaxed

SG: No. 146

a b c (Å): 5.929 5.929 5.929
angles (deg): 91.57 91.57 91.57
Site moments in Bohr magnetons follow the coordinates.
Sites, in units of the cell vectors:
Li (0.536, 0.536, 0.536)  0.01
Mn (0.084, 0.548, 0.755)  3.78
Mn (0.419, 0.240, 0.942)  4.06
Mn (0.240, 0.942, 0.419)  4.06
Mn (0.981, 0.981, 0.981)  3.32
Mn (0.755, 0.084, 0.548)  3.78
Mn (0.548, 0.755, 0.084)  3.78
Mn (0.942, 0.419, 0.240)  4.06
O (0.088, 0.301, 0.960)  0.00
O (0.057, 0.872, 0.690)  0.11
O (0.406, 0.573, 0.850)  0.06
O (0.690, 0.057, 0.872)  0.11
O (0.573, 0.850, 0.406)  0.06
O (0.301, 0.960, 0.088)  0.00
O (0.850, 0.406, 0.573)  0.06
O (0.960, 0.088, 0.301)  0.00
O (0.872, 0.690, 0.057)  0.11
F (0.220, 0.584, 0.393)  0.12
F (0.393, 0.220, 0.584)  0.12
F (0.584, 0.393, 0.220)  0.12



# 9
LiMnOF2 | PBEsol | relaxed

Polymorph energy (0 for the lowest one) in meV per atom: 0.0
SG: No. 15

a b c (Å): 5.286 5.286 8.796
angles (deg): 95.84 102.00 118.99
Site moments in Bohr magnetons follow the coordinates.
Sites, in units of the cell vectors:
Li (0.804, 0.156, 0.342)  0.00
Li (0.314, 0.462, 0.158)  0.00
Li (0.686, 0.538, 0.842)  0.00
Li (0.196, 0.844, 0.658)  0.00
Mn (0.500, 0.000, 0.000)  3.67
Mn (0.922, 0.172, 0.750)  3.65
Mn (0.500, 0.500, 0.500)  3.67
Mn (0.078, 0.828, 0.250)  3.65
O (0.396, 0.885, 0.180)  0.06
O (0.795, 0.783, 0.680)  0.06
O (0.205, 0.217, 0.320)  0.06
O (0.604, 0.115, 0.820)  0.06
F (0.726, 0.296, 0.526)  0.05
F (0.120, 0.594, 0.845)  0.05
F (0.250, 0.275, 0.655)  0.05
F (0.729, 0.800, 0.026)  0.05
F (0.271, 0.200, 0.974)  0.05
F (0.750, 0.725, 0.345)  0.05
F (0.880, 0.406, 0.155)  0.05
F (0.274, 0.704, 0.474)  0.05



# 10
Li4MnO2F3 | PBEsol | relaxed

Polymorph energy (0 for the lowest one) in meV per atom: 0.0
SG: No. 2

a b c (Å): 4.991 5.173 7.499
angles (deg): 109.78 103.74 96.66
Site moments in Bohr magnetons follow the coordinates.
Sites, in units of the cell vectors:
Li (0.500, 0.500, 0.500)  0.00
Li (0.000, 0.500, 0.000)  0.00
Li (0.496, 0.889, 0.315)  0.00
Li (0.504, 0.111, 0.685)  0.00
Li (0.508, 0.294, 0.090)  0.00
Li (0.492, 0.706, 0.910)  0.00
Li (0.994, 0.267, 0.594)  0.00
Li (0.006, 0.733, 0.406)  0.00
Mn (0.981, 0.904, 0.799)  3.55
Mn (0.019, 0.096, 0.201)  3.55
O (0.227, 0.908, 0.042)  0.06
O (0.773, 0.092, 0.958)  0.06
O (0.759, 0.893, 0.566)  0.09
O (0.241, 0.107, 0.434)  0.09
F (0.743, 0.482, 0.747)  0.04
F (0.257, 0.518, 0.253)  0.04
F (0.762, 0.289, 0.341)  0.01
F (0.238, 0.711, 0.659)  0.01
F (0.736, 0.681, 0.149)  0.04
F (0.264, 0.319, 0.851)  0.04



# 11
Li3MnP2O6F4 | PBEsol | relaxed

SG: No. 14

a b c (Å): 6.373 7.332 7.613
angles (deg): 90.00 91.50 90.00
Site moments in Bohr magnetons follow the coordinates.
Sites, in units of the cell vectors:
Li (0.500, 0.500, 0.500)  0.00
Li (0.500, 0.000, 0.000)  0.00
Li (0.256, 0.242, 0.323)  0.00
Li (0.744, 0.742, 0.177)  0.00
Li (0.744, 0.758, 0.677)  0.00
Li (0.256, 0.258, 0.823)  0.00
Mn (0.000, 0.500, 0.500)  3.64
Mn (0.000, 0.000, 0.000)  3.64
P (0.254, 0.841, 0.641)  0.01
P (0.746, 0.341, 0.859)  0.01
P (0.746, 0.159, 0.359)  0.01
P (0.254, 0.659, 0.141)  0.01
O (0.240, 0.538, 0.301)  0.04
O (0.760, 0.038, 0.199)  0.04
O (0.760, 0.462, 0.699)  0.04
O (0.240, 0.962, 0.801)  0.04
O (0.948, 0.276, 0.381)  0.01
O (0.052, 0.776, 0.119)  0.01
O (0.052, 0.724, 0.619)  0.01
O (0.948, 0.224, 0.881)  0.01
O (0.548, 0.264, 0.380)  0.01
O (0.452, 0.764, 0.120)  0.01
O (0.452, 0.736, 0.620)  0.01
O (0.548, 0.236, 0.880)  0.01
F (0.230, 0.386, 0.610)  0.03
F (0.770, 0.886, 0.890)  0.03
F (0.770, 0.614, 0.390)  0.03
F (0.230, 0.114, 0.110)  0.03
F (0.236, 0.977, 0.477)  0.00
F (0.764, 0.477, 0.023)  0.00
F (0.764, 0.023, 0.523)  0.00
F (0.236, 0.523, 0.977)  0.00



# 12
Li4Mn3P3O12F | PBEsol | relaxed

SG: No. 218

a b c (Å): 8.347 8.347 8.347
angles (deg): 90.00 90.00 90.00
Site moments in Bohr magnetons follow the coordinates.
Sites, in units of the cell vectors:
Li (0.143, 0.143, 0.143)  0.00
Li (0.143, 0.857, 0.857)  0.00
Li (0.357, 0.357, 0.643)  0.00
Li (0.357, 0.643, 0.357)  0.00
Li (0.643, 0.357, 0.357)  0.00
Li (0.643, 0.643, 0.643)  0.00
Li (0.857, 0.143, 0.857)  0.00
Li (0.857, 0.857, 0.143)  0.00
Mn (0.000, 0.500, 0.250)  4.39
Mn (0.000, 0.500, 0.750)  4.39
Mn (0.250, 0.000, 0.500)  4.39
Mn (0.500, 0.250, 0.000)  4.39
Mn (0.500, 0.750, 0.000)  4.39
Mn (0.750, 0.000, 0.500)  4.39
P (0.000, 0.250, 0.500)  0.02
P (0.000, 0.750, 0.500)  0.02
P (0.250, 0.500, 0.000)  0.02
P (0.500, 0.000, 0.250)  0.02
P (0.500, 0.000, 0.750)  0.02
P (0.750, 0.500, 0.000)  0.02
O (0.118, 0.353, 0.600)  0.05
O (0.118, 0.647, 0.400)  0.05
O (0.100, 0.147, 0.382)  0.05
O (0.100, 0.853, 0.618)  0.05
O (0.147, 0.382, 0.100)  0.05
O (0.147, 0.618, 0.900)  0.05
O (0.353, 0.400, 0.882)  0.05
O (0.353, 0.600, 0.118)  0.05
O (0.400, 0.118, 0.647)  0.05
O (0.400, 0.882, 0.353)  0.05
O (0.382, 0.100, 0.147)  0.05
O (0.382, 0.900, 0.853)  0.05
O (0.618, 0.100, 0.853)  0.05
O (0.618, 0.900, 0.147)  0.05
O (0.600, 0.882, 0.647)  0.05
O (0.600, 0.118, 0.353)  0.05
O (0.647, 0.600, 0.882)  0.05
O (0.647, 0.400, 0.118)  0.05
O (0.853, 0.382, 0.900)  0.05
O (0.853, 0.618, 0.100)  0.05
O (0.900, 0.147, 0.618)  0.05
O (0.900, 0.853, 0.382)  0.05
O (0.882, 0.353, 0.400)  0.05
O (0.882, 0.647, 0.600)  0.05
F (0.000, 0.000, 0.000)  0.00
F (0.500, 0.500, 0.500)  0.00



| no. | uncorrected energy (eV per atom) | formation energy without anion corrections (eV/atom) | calculated volume (Å³/f.u.) |
| --- | --- | --- | --- |
| 1 | -6.90 | -2.177 | 84.6 |
| 2 | -7.20 | -1.809 | 185.0 |
| 3 | -6.82 | -2.078 | 315.7 |
| 4 | -6.89 | -2.168 | 92.6 |
| 5 | -6.37 | -2.327 | 95.2 |
| 6 | -6.01 | -2.341 | 114.0 |
| 7 | -7.11 | -2.034 | 289.3 |
| 8 | -7.90 | -1.736 | 208.2 |
| 9 | -6.45 | -2.282 | 51.1 |
| 10 | -5.82 | -2.429 | 86.4 |
| 11 | -6.59 | -2.433 | 177.8 |
| 12 | -7.30 | -2.103 | 290.7 |